This record from Alexandria via LeMat-Bulk describes an optimized crystal structure of Sm4Ho3Pu. The functional is GGA-PBE.

a b c (Å): 3.451 11.596 8.824
angles (deg): 131.07 101.27 90.00
Site moments in Bohr magnetons follow the coordinates.
Element x y z (fractional)
Sm: 0.369 0.621 0.738  0.02
Sm: 0.631 0.379 0.262  0.02
Ho: 0.235 0.235 0.470  0.10
Sm: 0.631 0.883 0.262  0.02
Ho: 0.000 0.500 0.000  -0.11
Sm: 0.369 0.117 0.738  0.02
Ho: 0.765 0.765 0.530  0.10
Pu: 0.500 0.000 0.000  5.69

## Properties
Energy of formation from the pure elements, eV/atom: 0.15
Magnetic moment, μB/atom: 0.80
Total DFT energy (no corrections), eV for the cell shown: -45.71
Space-group type: Immm, No. 71